Entry 1:
BiAsPd2C | Alexandria | PBE | relaxed; total magnetization = 0.000 μB/atom; space-group type = P4/mmm; calculated volume = 18.96 A^3/atom; excess energy over the best structure of this formula in the dataset = 0.000 eV per atom; energy of formation = 4.284 eV/f.u.
1.0
4.920 0.000 0.000
0.000 4.920 0.000
0.000 0.000 3.915
Bi As Pd C
1 1 2 1
Cartesian
0.000 0.000 0.000 Bi
2.460 2.460 1.958 As
0.000 2.460 1.958 Pd
2.460 0.000 1.958 Pd
2.460 2.460 0.000 C

***

Entry 2:
BiAsPd2C | Alexandria | PBE | relaxed; total magnetization = 0.314 μB/atom; space-group type = P4/mmm; calculated volume = 28.72 A^3/atom; excess energy over the best structure of this formula in the dataset = 1.262 eV per atom; energy of formation = 10.591 eV/f.u.
1.0
5.131 0.000 0.000
0.000 5.131 0.000
0.000 0.000 5.455
Bi As Pd C
1 1 2 1
Cartesian
0.000 0.000 0.000 Bi
0.000 0.000 2.727 As
0.000 2.565 0.000 Pd
2.565 0.000 0.000 Pd
2.565 2.565 2.727 C

***

Entry 3:
Rb2BiAsC | Alexandria | PBE | relaxed; total magnetization = 0.544 μB/atom; space-group type = P4/mmm; calculated volume = 49.89 A^3/atom; energy of formation = 5.499 eV/f.u.
1.0
6.794 0.000 0.000
0.000 6.794 0.000
0.000 0.000 5.404
Rb Bi As C
2 1 1 1
Cartesian
0.000 3.397 0.000 Rb
3.397 0.000 0.000 Rb
0.000 0.000 2.702 Bi
0.000 0.000 0.000 As
3.397 3.397 2.702 C

***

Q: The lowest energy of formation belongs to which entry?
A: number 1

***

Q: Which value of total magnetization does entry 2 give?
A: 0.314 μB/atom